[1]
Material: SrNd2Tl3S6
Method: DFT, PBE
State: optimized geometry

Structure (POSCAR):
```
SrNd2Tl3S6
1.0
7.347 0.002 0.001
-3.670 6.365 0.001
-1.225 -2.121 7.235
S Tl Sr Nd
6 3 1 2
Direct
0.579 0.928 0.784
0.421 0.072 0.216
0.072 0.421 0.216
0.279 0.279 0.788
0.721 0.721 0.212
0.928 0.579 0.784
0.500 0.500 0.500
0.165 0.835 0.500
0.835 0.165 0.500
0.000 0.000 0.000
0.333 0.667 0.000
0.667 0.333 0.000
```

Values from the calculation:
Its energy is -58.90 eV per formula unit. As for the uncorrected formation energy: -1.318 eV per atom. As for the space-group type: C2/m. Its spin magnetization is 0.0 μB per formula unit.

=====

[2]
Material: MgIn2Ni
Method: DFT, PBE
State: optimized geometry

Structure (POSCAR):
```
MgIn2Ni
1.0
6.871 0.060 0.007
4.778 4.938 -0.007
-5.437 -3.402 2.466
In Mg Ni
2 1 1
Direct
0.752 0.252 0.500
0.065 0.065 0.000
0.432 0.432 0.000
0.251 0.751 0.500
```

Values from the calculation:
The formation energy is -85 meV/atom. Its energy is -13.19 eV per formula unit. As for the space-group type: Imm2. Its spin magnetization is 0.0 μB per formula unit.

=====

[3]
Material: Tl14Pb2Se9
Method: DFT, PBE
State: optimized geometry

Structure (POSCAR):
```
Tl14Pb2Se9
1.0
-1.096 -6.630 -3.574
4.981 5.041 -2.775
13.377 -7.657 10.100
Se Pb Tl
9 2 14
Direct
0.333 0.667 0.032
0.659 0.691 0.332
0.033 0.341 0.332
0.309 0.967 0.332
0.000 0.000 0.000
0.967 0.659 0.668
0.667 0.333 0.968
0.341 0.309 0.668
0.691 0.033 0.668
0.333 0.667 0.250
0.667 0.333 0.750
0.026 0.357 0.577
0.643 0.669 0.577
0.357 0.331 0.423
0.974 0.643 0.423
0.331 0.974 0.577
0.693 0.635 0.090
0.000 0.000 0.763
0.669 0.026 0.423
0.635 0.942 0.910
0.365 0.058 0.090
0.942 0.307 0.090
0.058 0.693 0.910
0.000 0.000 0.237
0.307 0.365 0.910
```

Values from the calculation:
Its energy is -80.89 eV per formula unit. As for the uncorrected formation energy: -0.359 eV per atom. As for the space-group type: P-3. Its spin magnetization is 0.0 μB per formula unit.

=====

[4]
Material: Pu2CdB3Pt12
Method: DFT, PBE
State: optimized geometry

Structure (POSCAR):
```
Pu2CdB3Pt12
1.0
7.209 -0.479 -0.340
3.144 6.505 -0.340
3.144 1.830 6.252
Pt Cd B Pu
12 1 3 2
Direct
0.908 0.321 0.321
0.141 0.600 0.141
0.859 0.400 0.859
0.092 0.679 0.679
0.859 0.859 0.400
0.600 0.141 0.141
0.679 0.679 0.092
0.400 0.859 0.859
0.321 0.321 0.908
0.679 0.092 0.679
0.321 0.908 0.321
0.141 0.141 0.600
0.000 0.000 0.000
0.000 0.000 0.500
0.000 0.500 0.000
0.500 0.000 0.000
0.402 0.402 0.402
0.598 0.598 0.598
```

Values from the calculation:
The formation energy is -258 meV/atom. Its energy is -126.74 eV per formula unit. As for the space-group type: R-3m. Its spin magnetization is 9.6 μB per formula unit.

=====

[5]
Material: PaInH
Method: DFT, PBE
State: optimized geometry

Structure (POSCAR):
```
PaInH
1.0
-3.016 0.740 1.020
1.128 -3.052 0.314
4.418 2.770 11.060
H In Pa
2 2 2
Direct
0.000 0.000 0.407
0.000 0.000 0.593
0.333 0.667 0.229
0.333 0.667 0.771
0.333 0.667 0.500
0.000 0.000 0.000
```

Values from the calculation:
Its energy is -15.50 eV per formula unit. As for the space-group type: P-6m2. Its spin magnetization is 0.0 μB per formula unit.

=====

[6]
Material: Pr3DyP2N6
Method: DFT, PBE
State: optimized geometry

Structure (POSCAR):
```
Pr3DyP2N6
1.0
-3.575 4.120 -1.830
-1.631 -3.561 4.214
2.432 4.048 4.361
N Pr P Dy
6 3 2 1
Direct
0.363 0.181 0.715
0.181 0.819 0.285
0.819 0.181 0.715
0.637 0.819 0.285
0.181 0.363 0.285
0.819 0.637 0.715
0.333 0.667 0.650
0.000 0.000 0.000
0.667 0.333 0.350
0.667 0.333 0.830
0.333 0.667 0.170
0.000 0.000 0.500
```

Values from the calculation:
Its energy is -93.38 eV per formula unit. As for the uncorrected formation energy: -1.139 eV per atom. As for the space-group type: P-3m1. Its spin magnetization is 0.0 μB per formula unit.

=====

Q: The highest energy belongs to which entry?
A: MgIn2Ni

=====

Q: Among the records above, which one has the highest energy?
A: MgIn2Ni

=====

Q: What is the spin magnetization in the sixth record?
A: 0.0 μB per formula unit